LiAcCoSi | PBE | optimized geometry

Computed properties:
As for the formation energy (no corrections): -0.3802 eV/atom. Its space group is P4/nmm (129). The total moment is 0.10 μB per formula unit.

Cell lengths 3.9789, 3.9789, 11.8387 Å; angles 90.00, 90.00, 90.00 degrees
With the nearest neighbours (Å) after each atom.
Element x y z (fractional)
Si (0.7500, 0.7500, 0.9035)  4 Co 2.29
Si (0.2500, 0.2500, 0.0965)  4 Co 2.29
Ac (0.2500, 0.2500, 0.7808)  4 Si 3.17, 4 Co 3.27
Ac (0.7500, 0.7500, 0.2192)  4 Si 3.17, 4 Co 3.27
Li (0.7500, 0.2500, 0.5000)  4 Li 2.81
Li (0.2500, 0.7500, 0.5000)  4 Li 2.81
Co (0.7500, 0.2500, 0.0000)  4 Si 2.29
Co (0.2500, 0.7500, 0.0000)  4 Si 2.29